Nb2Ir2Rh PBE optimized geometry; distance to the lowest polymorph of the same formula = 0.00 eV per formula unit
1.0
4.482 -1.976 0.000
4.482 1.976 0.000
-4.328 0.000 4.487
Nb Ir Rh
2 2 1
Cartesian
-0.876 0.000 1.648
5.512 0.000 2.839
1.805 0.000 0.942
2.831 0.000 3.545
4.482 0.000 0.000

La2Sm2Th PBE optimized geometry; distance to the lowest polymorph of the same formula = 0.00 eV per formula unit
1.0
1.835 1.060 14.807
-1.835 1.060 14.807
0.000 -2.119 14.807
La Sm Th
2 2 1
Cartesian
0.000 0.000 5.901
0.000 0.000 38.520
0.000 0.000 17.613
0.000 0.000 26.808
0.000 0.000 0.000

The magnetization results, record by record, are as follows: 0.000; 0.001 μB per cell.
The E_form results, record by record, are as follows: -0.454; 0.010 eV per atom.